# GGA-PBE In2Fe, relaxed
data_In2Fe
_chemical_formula_sum 'In8 Fe4'
_cell_length_a 6.5917
_cell_length_b 6.5917
_cell_length_c 5.4269
_cell_angle_alpha 90.00
_cell_angle_beta 90.00
_cell_angle_gamma 90.00
_symmetry_space_group_name_H-M 'I 4/m c m'
_symmetry_Int_Tables_number 140
_symmetry_space_group_name_Hall '-I 4 2c'
loop_
_atom_site_label
_atom_site_type_symbol
_atom_site_fract_x
_atom_site_fract_y
_atom_site_fract_z
_atom_site_occupancy
In1 In 0.1811 0.3189 0.0000 1
Fe1 Fe 0.0000 0.0000 0.2500 1
# total energy = -4.54 eV/atom
# calculated density = 8.04 Mg/m³
# energy relative to the elements = 0.109 eV/atom

=====

# GGA-PBE MnCrPb2, relaxed
data_MnCrPb2
_chemical_formula_sum 'Mn4 Cr4 Pb8'
_cell_length_a 7.2853
_cell_length_b 7.2853
_cell_length_c 7.2853
_cell_angle_alpha 90.00
_cell_angle_beta 90.00
_cell_angle_gamma 90.00
_symmetry_space_group_name_H-M 'F -4 3 m'
_symmetry_Int_Tables_number 216
_symmetry_space_group_name_Hall 'F -4 2 3'
loop_
_atom_site_label
_atom_site_type_symbol
_atom_site_fract_x
_atom_site_fract_y
_atom_site_fract_z
_atom_site_occupancy
Mn1 Mn 0.0000 0.0000 0.0000 1
Cr1 Cr 0.2500 0.2500 0.2500 1
Pb1 Pb 0.0000 0.0000 0.5000 1
Pb2 Pb 0.2500 0.2500 0.7500 1
# total energy = -5.76 eV/atom
# calculated density = 8.96 Mg/m³
# excess energy over the best structure of this formula in the dataset = 45.6 kJ/mol of atoms
# energy relative to the elements = 0.788 eV/atom

=====

# GGA-PBE Y3FeHg, relaxed
data_Y3FeHg
_chemical_formula_sum 'Y3 Fe1 Hg1'
_cell_length_a 5.1673
_cell_length_b 5.1673
_cell_length_c 5.1673
_cell_angle_alpha 90.00
_cell_angle_beta 90.00
_cell_angle_gamma 90.00
_symmetry_space_group_name_H-M 'P m -3 m'
_symmetry_Int_Tables_number 221
_symmetry_space_group_name_Hall '-P 4 2 3'
loop_
_atom_site_label
_atom_site_type_symbol
_atom_site_fract_x
_atom_site_fract_y
_atom_site_fract_z
_atom_site_occupancy
Y1 Y 0.0000 0.0000 0.5000 1
Fe1 Fe 0.0000 0.0000 0.0000 1
Hg1 Hg 0.5000 0.5000 0.5000 1
# total energy = -5.64 eV/atom
# calculated density = 6.30 Mg/m³
# excess energy over the best structure of this formula in the dataset = 19.9 kJ/mol of atoms
# energy relative to the elements = -0.010 eV/atom

=====

# GGA-PBE Ta2BePt, relaxed
data_Ta2BePt
_chemical_formula_sum 'Ta4 Be2 Pt2'
_cell_length_a 2.7930
_cell_length_b 4.6735
_cell_length_c 9.2993
_cell_angle_alpha 90.00
_cell_angle_beta 90.00
_cell_angle_gamma 90.00
_symmetry_space_group_name_H-M 'I m m 2'
_symmetry_Int_Tables_number 44
loop_
_symmetry_equiv_pos_as_xyz
'x,y,z'
'-x,-y,z'
'-x,y,z'
'x,-y,z'
'x+1/2,y+1/2,z+1/2'
'-x+1/2,-y+1/2,z+1/2'
'-x+1/2,y+1/2,z+1/2'
'x+1/2,-y+1/2,z+1/2'
loop_
_atom_site_label
_atom_site_type_symbol
_atom_site_fract_x
_atom_site_fract_y
_atom_site_fract_z
_atom_site_occupancy
Ta1 Ta 0.0000 0.0000 0.0000 1
Ta2 Ta 0.0000 0.5000 0.2158 1
Be1 Be 0.0000 0.5000 0.7368 1
Pt1 Pt 0.0000 0.0000 0.4351 1
# total energy = -8.61 eV/atom
# calculated density = 15.49 Mg/m³
# energy relative to the elements = -0.243 eV/atom

=====

# GGA-PBE KScMnCl6, relaxed
data_KScMnCl6
_chemical_formula_sum 'K2 Sc2 Mn2 Cl12'
_cell_length_a 6.2604
_cell_length_b 6.2604
_cell_length_c 14.4030
_cell_angle_alpha 90.00
_cell_angle_beta 90.00
_cell_angle_gamma 120.00
_symmetry_space_group_name_H-M 'P -3 1 c'
_symmetry_Int_Tables_number 163
_symmetry_space_group_name_Hall '-P 3 2c'
loop_
_atom_site_label
_atom_site_type_symbol
_atom_site_fract_x
_atom_site_fract_y
_atom_site_fract_z
_atom_site_occupancy
K1 K 0.0000 0.0000 0.0000 1
Sc1 Sc 0.3333 0.6667 0.2500 1
Mn1 Mn 0.3333 0.6667 0.7500 1
Cl1 Cl 0.0181 0.3736 0.6529 1
# total energy = -4.59 eV/atom
# calculated density = 2.39 Mg/m³

=====

# GGA-PBE ScHgB, relaxed
data_ScHgB
_chemical_formula_sum 'Sc2 Hg2 B2'
_cell_length_a 3.1209
_cell_length_b 3.3689
_cell_length_c 10.0435
_cell_angle_alpha 99.60
_cell_angle_beta 98.84
_cell_angle_gamma 90.01
_symmetry_space_group_name_H-M 'P -1'
_symmetry_Int_Tables_number 2
loop_
_symmetry_equiv_pos_as_xyz
'x,y,z'
'-x,-y,-z'
loop_
_atom_site_label
_atom_site_type_symbol
_atom_site_fract_x
_atom_site_fract_y
_atom_site_fract_z
_atom_site_occupancy
Sc1 Sc 0.1775 0.4269 0.3535 1
Hg1 Hg 0.4333 0.1853 0.8702 1
B1 B 0.2660 0.0158 0.5324 1
# total energy = -4.88 eV/atom
# calculated density = 8.28 Mg/m³
# excess energy over the best structure of this formula in the dataset = 6.5 kJ/mol of atoms
# energy relative to the elements = -0.444 eV/atom

=====

# GGA-PBE CaMg2Cl, relaxed
data_CaMg2Cl
_chemical_formula_sum 'Ca1 Mg2 Cl1'
_cell_length_a 3.4384
_cell_length_b 3.4384
_cell_length_c 8.9648
_cell_angle_alpha 90.00
_cell_angle_beta 90.00
_cell_angle_gamma 90.00
_symmetry_space_group_name_H-M 'P 4/m m m'
_symmetry_Int_Tables_number 123
_symmetry_space_group_name_Hall '-P 4 2'
loop_
_atom_site_label
_atom_site_type_symbol
_atom_site_fract_x
_atom_site_fract_y
_atom_site_fract_z
_atom_site_occupancy
Ca1 Ca 0.0000 0.0000 0.0000 1
Mg1 Mg 0.5000 0.5000 0.2785 1
Cl1 Cl 0.0000 0.0000 0.5000 1
# total energy = -2.19 eV/atom
# calculated density = 1.94 Mg/m³
# excess energy over the best structure of this formula in the dataset = 24.4 kJ/mol of atoms

=====

# GGA-PBE KZn2Te, relaxed
data_KZn2Te
_chemical_formula_sum 'K2 Zn4 Te2'
_cell_length_a 4.1817
_cell_length_b 5.6540
_cell_length_c 10.1831
_cell_angle_alpha 90.00
_cell_angle_beta 90.00
_cell_angle_gamma 90.00
_symmetry_space_group_name_H-M 'I m m m'
_symmetry_Int_Tables_number 71
_symmetry_space_group_name_Hall '-I 2 2'
loop_
_atom_site_label
_atom_site_type_symbol
_atom_site_fract_x
_atom_site_fract_y
_atom_site_fract_z
_atom_site_occupancy
K1 K 0.0000 0.0000 0.0000 1
Zn1 Zn 0.0000 0.5000 0.2007 1
Te1 Te 0.0000 0.0000 0.5000 1
# total energy = -1.76 eV/atom
# calculated density = 4.10 Mg/m³